The following is a DFT calculation (PBE-GGA) of a geometry-optimized ZrPa2Tc9 structure.

ΔE_f in eV per atom: -0.06

abc: 5.1523 5.1523 27.5797
angles: 90.00 90.00 120.00
Space group R-3m (No. 166, hexagonal axes)
Asymmetric unit:
Zr (0.0000, 0.0000, 0.0000) (multiplicity 3)
Pa (0.0000, 0.0000, 0.1463) (multiplicity 6)
Tc (0.0000, 0.0000, 0.3359) (multiplicity 6)
Tc (0.0000, 0.0000, 0.5000) (multiplicity 3)
Tc (0.0054, 0.5027, 0.9189) (multiplicity 18)

The following is a DFT calculation (PBE-GGA) of a geometry-optimized Hf3Cd2Ag2 structure.

ΔE_f in eV per atom: -0.04

abc: 3.123 30.542 3.122
angles: 90.00 90.00 90.00
Space group Cmmm (No. 65)
Asymmetric unit:
Hf (0.000, 0.000, 0.000) (multiplicity 2)
Hf (0.000, 0.428, 0.500) (multiplicity 4)
Cd (0.000, 0.293, 0.500) (multiplicity 4)
Ag (0.000, 0.141, 0.000) (multiplicity 4)

The following is a DFT calculation (PBE-GGA) of a geometry-optimized TiSnBr6 structure.

Energy relative to the elements, uncorrected in meV/atom: -967

abc: 6.867 12.733 6.841
angles: 90.00 106.87 90.00
Space group C2/m (No. 12)
Asymmetric unit:
Ti (0.000, 0.000, 0.000) (multiplicity 2)
Sn (0.000, 0.500, 0.500) (multiplicity 2)
Br (0.216, 0.142, 0.221) (multiplicity 8)
Br (0.234, 0.000, 0.775) (multiplicity 4)

The following is a DFT calculation (PBE-GGA) of a geometry-optimized TaCd2Ni structure.

ΔE_f in eV per atom: 0.35

abc: 3.007 4.713 4.968
angles: 90.00 90.00 90.00
Space group Pmmm (No. 47)
Asymmetric unit:
Ta (0.000, 0.000, 0.000) (multiplicity 1)
Cd (0.000, 0.500, 0.500) (multiplicity 1)
Cd (0.500, 0.000, 0.500) (multiplicity 1)
Ni (0.500, 0.500, 0.000) (multiplicity 1)

The following is a DFT calculation (PBE-GGA) of a geometry-optimized SiNi4P structure.

Energy relative to the elements, uncorrected in meV/atom: -510

abc: 5.940 3.312 13.774
angles: 90.00 90.00 90.00
Space group Pnma (No. 62)
Asymmetric unit:
Si (0.244, 0.250, 0.059) (multiplicity 4)
Ni (0.009, 0.750, 0.429) (multiplicity 4)
Ni (0.069, 0.750, 0.715) (multiplicity 4)
Ni (0.107, 0.750, 0.160) (multiplicity 4)
Ni (0.145, 0.750, 0.942) (multiplicity 4)
P (0.245, 0.750, 0.310) (multiplicity 4)

The following is a DFT calculation (PBE-GGA) of a geometry-optimized Cs4Au2I structure.

Energy relative to the elements, uncorrected in meV/atom: -625

abc: 5.3253 5.3253 53.1002
angles: 90.00 90.00 120.00
Space group R-3m (No. 166, hexagonal axes)
Asymmetric unit:
Cs (0.0000, 0.0000, 0.1222) (multiplicity 6)
Cs (0.0000, 0.0000, 0.2891) (multiplicity 6)
Au (0.0000, 0.0000, 0.4184) (multiplicity 6)
I (0.0000, 0.0000, 0.0000) (multiplicity 3)

The following is a DFT calculation (PBE-GGA) of a geometry-optimized Cs2DyCu2Cl6 structure.

Energy relative to the elements, uncorrected in meV/atom: -1459

abc: 12.917 7.382 8.600
angles: 90.00 122.73 90.00
Space group C2/m (No. 12)
Asymmetric unit:
Cs (0.211, 0.000, 0.197) (multiplicity 4)
Dy (0.000, 0.000, 0.500) (multiplicity 2)
Cu (0.041, 0.500, 0.164) (multiplicity 4)
Cl (0.037, 0.246, 0.751) (multiplicity 8)
Cl (0.239, 0.000, 0.630) (multiplicity 4)

The following is a DFT calculation (PBE-GGA) of a geometry-optimized CaLaTbGd structure.

ΔE_f in eV per atom: 0.12

abc: 8.277 8.277 8.277
angles: 90.00 90.00 90.00
Space group F-43m (No. 216)
Asymmetric unit:
Ca (0.000, 0.000, 0.000) (multiplicity 4)
La (0.250, 0.250, 0.750) (multiplicity 4)
Tb (0.000, 0.000, 0.500) (multiplicity 4)
Gd (0.250, 0.250, 0.250) (multiplicity 4)

The following is a DFT calculation (PBE-GGA) of a geometry-optimized Tb2PmErSb4 structure.

Energy relative to the elements, uncorrected in meV/atom: -1140

abc: 7.642 4.416 7.645
angles: 90.00 109.48 90.00
Space group P2/m (No. 10)
Asymmetric unit:
Tb (0.000, 0.000, 0.000) (multiplicity 1)
Tb (0.500, 0.500, 0.000) (multiplicity 1)
Pm (0.000, 0.500, 0.500) (multiplicity 1)
Er (0.500, 0.000, 0.500) (multiplicity 1)
Sb (0.254, 0.500, 0.250) (multiplicity 2)
Sb (0.255, 0.000, 0.753) (multiplicity 2)

The following is a DFT calculation (PBE-GGA) of a geometry-optimized CsK12Rb2Hg3 structure.

ΔE_f in eV per atom: -0.03

abc: 12.8286 12.8286 27.1185
angles: 90.00 90.00 120.00
Space group R-3m (No. 166, hexagonal axes)
Asymmetric unit:
Cs (0.0000, 0.0000, 0.0000) (multiplicity 3)
K (0.0679, 0.5340, 0.8122) (multiplicity 18)
K (0.0844, 0.5422, 0.3764) (multiplicity 18)
Rb (0.0000, 0.0000, 0.4203) (multiplicity 6)
Hg (0.0000, 0.5000, 0.5000) (multiplicity 9)

The following is a DFT calculation (PBE-GGA) of a geometry-optimized Ba2MgSn7 structure.

ΔE_f in eV per atom: -0.34

abc: 5.080 5.080 12.807
angles: 90.00 90.00 90.00
Space group P-4m2 (No. 115)
Asymmetric unit:
Ba (0.000, 0.500, 0.250) (multiplicity 2)
Mg (0.000, 0.000, 0.500) (multiplicity 1)
Sn (0.000, 0.000, 0.000) (multiplicity 1)
Sn (0.000, 0.500, 0.630) (multiplicity 2)
Sn (0.000, 0.500, 0.865) (multiplicity 2)
Sn (0.500, 0.500, 0.000) (multiplicity 1)
Sn (0.500, 0.500, 0.500) (multiplicity 1)

The following is a DFT calculation (PBE-GGA) of a geometry-optimized Mg2Ag2Te structure.

Energy relative to the elements, uncorrected in meV/atom: -48

abc: 7.836 7.836 3.615
angles: 90.00 90.00 90.00
Space group P4/mbm (No. 127)
Asymmetric unit:
Mg (0.158, 0.342, 0.000) (multiplicity 4)
Ag (0.131, 0.631, 0.500) (multiplicity 4)
Te (0.000, 0.000, 0.000) (multiplicity 2)

Q: Which density values were calculated for the entries above? A: 11.277, 10.887, 3.748, 10.955, 7.202, 4.020, 3.698, 5.801, 7.627, 1.772, 5.677, 5.865, in g/cm3.